[1]
# GGA-PBEsol FeRe2O6, optimized geometry
data_FeRe2O6
_cell_length_a 4.6478
_cell_length_b 4.6478
_cell_length_c 8.3107
_cell_angle_alpha 90.00
_cell_angle_beta 90.00
_cell_angle_gamma 90.00
_symmetry_space_group_name_H-M 'P 42/m n m'
_symmetry_Int_Tables_number 136
_symmetry_space_group_name_Hall '-P 4n 2n'
loop_
_atom_site_label
_atom_site_type_symbol
_atom_site_fract_x
_atom_site_fract_y
_atom_site_fract_z
Fe1 Fe 0.0000 0.0000 0.0000
Re1 Re 0.0000 0.0000 0.3468
O1 O 0.2022 0.2022 0.1674
O2 O 0.2277 0.2277 0.5000
# E: -0.3274 hartree per atom
# Size of the total moment: 0.8 Bohr magnetons per cell
# Energy relative to the elements, uncorrected: -140 kJ/mol of atoms

=====

[2]
# GGA-PBEsol TlAsS2, optimized geometry
data_TlAsS2
_cell_length_a 6.0037
_cell_length_b 11.2219
_cell_length_c 12.0733
_cell_angle_alpha 90.00
_cell_angle_beta 104.42
_cell_angle_gamma 90.00
_symmetry_space_group_name_H-M 'P 1 21/c 1'
_symmetry_Int_Tables_number 14
loop_
_symmetry_equiv_pos_as_xyz
'x,y,z'
'-x,-y,-z'
'-x,y+1/2,-z+1/2'
'x,-y+1/2,z+1/2'
loop_
_atom_site_label
_atom_site_type_symbol
_atom_site_fract_x
_atom_site_fract_y
_atom_site_fract_z
Tl1 Tl 0.1613 0.1827 0.0586
Tl2 Tl 0.2754 0.5603 0.9019
As1 As 0.2297 0.6687 0.1905
As2 As 0.4492 0.0869 0.8642
S1 S 0.1907 0.5641 0.6503
S2 S 0.2609 0.0407 0.6767
S3 S 0.2895 0.6810 0.3779
S4 S 0.4059 0.2079 0.3349
# E: -0.1606 hartree per atom
# Size of the total moment: 0.0 Bohr magnetons per cell
# Energy relative to the elements, uncorrected: -23 kJ/mol of atoms

=====

[3]
# GGA-PBEsol BeCr2Cd, optimized geometry
data_BeCr2Cd
_cell_length_a 2.5879
_cell_length_b 3.8884
_cell_length_c 5.0747
_cell_angle_alpha 90.00
_cell_angle_beta 95.92
_cell_angle_gamma 90.00
_symmetry_space_group_name_H-M 'P 1 2/m 1'
_symmetry_Int_Tables_number 10
loop_
_symmetry_equiv_pos_as_xyz
'x,y,z'
'-x,-y,-z'
'-x,y,-z'
'x,-y,z'
loop_
_atom_site_label
_atom_site_type_symbol
_atom_site_fract_x
_atom_site_fract_y
_atom_site_fract_z
Be1 Be 0.0000 0.0000 0.0000
Cr1 Cr 0.4478 0.5000 0.1960
Cd1 Cd 0.0000 0.0000 0.5000
# E: -0.2203 hartree per atom
# Size of the total moment: 0.0 Bohr magnetons per cell
# E above lowest polymorph: 74 meV per atom
# Energy relative to the elements: 0.4251 eV/atom